Entry 1:
First-principles (GGA-PBE) data for a relaxed structure of BaCrAs2, as listed in Alexandria via LeMat-Bulk.

E above lowest polymorph	376.8	meV per atom
M_tot	0.001	μB per atom

The structure in CIF format:
```
data_BaCrAs2
_space_group_name_H-M_alt 'P 1 2/m 1'
_space_group_IT_number 10
_space_group_name_Hall '-P 2y'
_cell_length_a 3.2484
_cell_length_b 3.2448
_cell_length_c 7.7425
_cell_angle_alpha 90.00
_cell_angle_beta 90.23
_cell_angle_gamma 90.00
loop_
_atom_site_label
_atom_site_type_symbol
_atom_site_fract_x
_atom_site_fract_y
_atom_site_fract_z
Ba1 Ba 0.0000 0.0000 0.0000
Cr1 Cr 0.0000 0.0000 0.5000
As1 As 0.4994 0.5000 0.6788
```


Entry 2:
First-principles (GGA-PBE) data for a relaxed structure of BaCrAs2, as listed in Alexandria via LeMat-Bulk.

E above lowest polymorph	760.7	meV per atom
M_tot	1.053	μB per atom

The structure in CIF format:
```
data_BaCrAs2
_space_group_name_H-M_alt 'F -4 3 m'
_space_group_IT_number 216
_space_group_name_Hall 'F -4 2 3'
_cell_length_a 7.3339
_cell_length_b 7.3339
_cell_length_c 7.3339
_cell_angle_alpha 90.00
_cell_angle_beta 90.00
_cell_angle_gamma 90.00
loop_
_atom_site_label
_atom_site_type_symbol
_atom_site_fract_x
_atom_site_fract_y
_atom_site_fract_z
Ba1 Ba 0.0000 0.0000 0.0000
Cr1 Cr 0.2500 0.2500 0.2500
As1 As 0.0000 0.0000 0.5000
As2 As 0.2500 0.2500 0.7500
```


Entry 3:
First-principles (GGA-PBE) data for a relaxed structure of BaCrAs2, as listed in Alexandria via LeMat-Bulk.

E above lowest polymorph	238.5	meV per atom
M_tot	0.590	μB per atom

The structure in CIF format:
```
data_BaCrAs2
_space_group_name_H-M_alt 'I m m 2'
_space_group_IT_number 44
_space_group_name_Hall 'I 2 -2'
_cell_length_a 3.6247
_cell_length_b 3.6729
_cell_length_c 14.6944
_cell_angle_alpha 90.00
_cell_angle_beta 90.00
_cell_angle_gamma 90.00
loop_
_atom_site_label
_atom_site_type_symbol
_atom_site_fract_x
_atom_site_fract_y
_atom_site_fract_z
Ba1 Ba 0.0000 0.0000 0.0000
Cr1 Cr 0.0000 0.5000 0.7475
As1 As 0.0000 0.0000 0.3644
As2 As 0.0000 0.5000 0.1887
```


Entry 4:
First-principles (GGA-PBE) data for a relaxed structure of Ba2CrAs, as listed in Alexandria via LeMat-Bulk.

M_tot	1.281	μB per atom

The structure in CIF format:
```
data_Ba2CrAs
_space_group_name_H-M_alt 'P 4 m m'
_space_group_IT_number 99
_space_group_name_Hall 'P 4 -2'
_cell_length_a 4.8722
_cell_length_b 4.8722
_cell_length_c 6.8117
_cell_angle_alpha 90.00
_cell_angle_beta 90.00
_cell_angle_gamma 90.00
loop_
_atom_site_label
_atom_site_type_symbol
_atom_site_fract_x
_atom_site_fract_y
_atom_site_fract_z
Ba1 Ba 0.0000 0.0000 0.0000
Ba2 Ba 0.5000 0.5000 0.4886
Cr1 Cr 0.0000 0.0000 0.5051
As1 As 0.5000 0.5000 0.9866
```


Entry 5:
First-principles (GGA-PBE) data for a relaxed structure of BaCrAs2, as listed in Alexandria via LeMat-Bulk.

E above lowest polymorph	59.2	meV per atom
M_tot	0.821	μB per atom

The structure in CIF format:
```
data_BaCrAs2
_space_group_name_H-M_alt 'P -6 m 2'
_space_group_IT_number 187
_space_group_name_Hall 'P -6 2'
_cell_length_a 4.1721
_cell_length_b 4.1721
_cell_length_c 6.7973
_cell_angle_alpha 90.00
_cell_angle_beta 90.00
_cell_angle_gamma 120.00
loop_
_atom_site_label
_atom_site_type_symbol
_atom_site_fract_x
_atom_site_fract_y
_atom_site_fract_z
Ba1 Ba 0.0000 0.0000 0.0000
Cr1 Cr 0.3333 0.6667 0.5000
As1 As 0.6667 0.3333 0.3191
```


Entry 6:
First-principles (GGA-PBE) data for a relaxed structure of BaCrAs2, as listed in Alexandria via LeMat-Bulk.

E above lowest polymorph	393.8	meV per atom
M_tot	0.656	μB per atom

The structure in CIF format:
```
data_BaCrAs2
_space_group_name_H-M_alt 'P 4 m m'
_space_group_IT_number 99
_space_group_name_Hall 'P 4 -2'
_cell_length_a 3.6499
_cell_length_b 3.6499
_cell_length_c 7.8988
_cell_angle_alpha 90.00
_cell_angle_beta 90.00
_cell_angle_gamma 90.00
loop_
_atom_site_label
_atom_site_type_symbol
_atom_site_fract_x
_atom_site_fract_y
_atom_site_fract_z
Ba1 Ba 0.0000 0.0000 0.0000
Cr1 Cr 0.5000 0.5000 0.4457
As1 As 0.0000 0.0000 0.4185
As2 As 0.5000 0.5000 0.7564
```


Entry 7:
First-principles (GGA-PBE) data for a relaxed structure of Ba2CrAs, as listed in Alexandria via LeMat-Bulk.

M_tot	1.229	μB per atom

The structure in CIF format:
```
data_Ba2CrAs
_space_group_name_H-M_alt 'F -4 3 m'
_space_group_IT_number 216
_space_group_name_Hall 'F -4 2 3'
_cell_length_a 7.9020
_cell_length_b 7.9020
_cell_length_c 7.9020
_cell_angle_alpha 90.00
_cell_angle_beta 90.00
_cell_angle_gamma 90.00
loop_
_atom_site_label
_atom_site_type_symbol
_atom_site_fract_x
_atom_site_fract_y
_atom_site_fract_z
Ba1 Ba 0.0000 0.0000 0.0000
Ba2 Ba 0.2500 0.2500 0.2500
Cr1 Cr 0.2500 0.2500 0.7500
As1 As 0.0000 0.0000 0.5000
```


Entry 8:
First-principles (GGA-PBE) data for a relaxed structure of BaCr3As, as listed in Alexandria via LeMat-Bulk.

E above lowest polymorph	0.0	meV per atom
M_tot	2.581	μB per atom

The structure in CIF format:
```
data_BaCr3As
_space_group_name_H-M_alt 'P m -3 m'
_space_group_IT_number 221
_space_group_name_Hall '-P 4 2 3'
_cell_length_a 5.0682
_cell_length_b 5.0682
_cell_length_c 5.0682
_cell_angle_alpha 90.00
_cell_angle_beta 90.00
_cell_angle_gamma 90.00
loop_
_atom_site_label
_atom_site_type_symbol
_atom_site_fract_x
_atom_site_fract_y
_atom_site_fract_z
Ba1 Ba 0.0000 0.0000 0.0000
Cr1 Cr 0.0000 0.5000 0.5000
As1 As 0.5000 0.5000 0.5000
```


Entry 9:
First-principles (GGA-PBE) data for a relaxed structure of BaCrAs2, as listed in Alexandria via LeMat-Bulk.

E above lowest polymorph	484.1	meV per atom
M_tot	0.751	μB per atom

The structure in CIF format:
```
data_BaCrAs2
_space_group_name_H-M_alt 'F m -3 m'
_space_group_IT_number 225
_space_group_name_Hall '-F 4 2 3'
_cell_length_a 7.3174
_cell_length_b 7.3174
_cell_length_c 7.3174
_cell_angle_alpha 90.00
_cell_angle_beta 90.00
_cell_angle_gamma 90.00
loop_
_atom_site_label
_atom_site_type_symbol
_atom_site_fract_x
_atom_site_fract_y
_atom_site_fract_z
Ba1 Ba 0.0000 0.0000 0.0000
Cr1 Cr 0.0000 0.0000 0.5000
As1 As 0.2500 0.2500 0.2500
```


Entry 10:
First-principles (GGA-PBE) data for a relaxed structure of BaCrAs2, as listed in Alexandria via LeMat-Bulk.

E above lowest polymorph	106.3	meV per atom
M_tot	0.499	μB per atom

The structure in CIF format:
```
data_BaCrAs2
_space_group_name_H-M_alt 'A m m 2'
_space_group_IT_number 38
_space_group_name_Hall 'A 2 -2'
_cell_length_a 4.5045
_cell_length_b 4.1706
_cell_length_c 12.3160
_cell_angle_alpha 90.00
_cell_angle_beta 90.00
_cell_angle_gamma 90.00
loop_
_atom_site_label
_atom_site_type_symbol
_atom_site_fract_x
_atom_site_fract_y
_atom_site_fract_z
Ba1 Ba 0.0000 0.0000 0.0000
Cr1 Cr 0.5000 0.0000 0.7710
As1 As 0.0000 0.0000 0.7090
As2 As 0.5000 0.0000 0.3730
```


Entry 11:
First-principles (GGA-PBE) data for a relaxed structure of Ba2CrAs, as listed in Alexandria via LeMat-Bulk.

M_tot	1.222	μB per atom

The structure in CIF format:
```
data_Ba2CrAs
_space_group_name_H-M_alt 'A m m 2'
_space_group_IT_number 38
_space_group_name_Hall 'A 2 -2'
_cell_length_a 4.6071
_cell_length_b 4.8165
_cell_length_c 12.5659
_cell_angle_alpha 90.00
_cell_angle_beta 90.00
_cell_angle_gamma 90.00
loop_
_atom_site_label
_atom_site_type_symbol
_atom_site_fract_x
_atom_site_fract_y
_atom_site_fract_z
Ba1 Ba 0.0000 0.0000 0.0000
Ba2 Ba 0.5000 0.0000 0.2800
Cr1 Cr 0.0000 0.0000 0.6887
As1 As 0.5000 0.0000 0.5763
```


Entry 12:
First-principles (GGA-PBE) data for a relaxed structure of Ba2CrAs, as listed in Alexandria via LeMat-Bulk.

M_tot	0.744	μB per atom

The structure in CIF format:
```
data_Ba2CrAs
_space_group_name_H-M_alt 'P 4 m m'
_space_group_IT_number 99
_space_group_name_Hall 'P 4 -2'
_cell_length_a 3.7522
_cell_length_b 3.7522
_cell_length_c 9.5947
_cell_angle_alpha 90.00
_cell_angle_beta 90.00
_cell_angle_gamma 90.00
loop_
_atom_site_label
_atom_site_type_symbol
_atom_site_fract_x
_atom_site_fract_y
_atom_site_fract_z
Ba1 Ba 0.0000 0.0000 0.0000
Ba2 Ba 0.5000 0.5000 0.4051
Cr1 Cr 0.0000 0.0000 0.6781
As1 As 0.5000 0.5000 0.7491
```


Entry 13:
First-principles (GGA-PBE) data for a relaxed structure of BaCrAs2, as listed in Alexandria via LeMat-Bulk.

E above lowest polymorph	622.3	meV per atom
M_tot	0.951	μB per atom

The structure in CIF format:
```
data_BaCrAs2
_space_group_name_H-M_alt 'I -4 m 2'
_space_group_IT_number 119
_space_group_name_Hall 'I -4 -2'
_cell_length_a 4.4412
_cell_length_b 4.4412
_cell_length_c 10.2450
_cell_angle_alpha 90.00
_cell_angle_beta 90.00
_cell_angle_gamma 90.00
loop_
_atom_site_label
_atom_site_type_symbol
_atom_site_fract_x
_atom_site_fract_y
_atom_site_fract_z
Ba1 Ba 0.0000 0.0000 0.0000
Cr1 Cr 0.0000 0.5000 0.7500
As1 As 0.0000 0.0000 0.5000
As2 As 0.0000 0.5000 0.2500
```


Entry 14:
First-principles (GGA-PBE) data for a relaxed structure of BaCrAs2, as listed in Alexandria via LeMat-Bulk.

E above lowest polymorph	550.8	meV per atom
M_tot	1.019	μB per atom

The structure in CIF format:
```
data_BaCrAs2
_space_group_name_H-M_alt 'C m m m'
_space_group_IT_number 65
_space_group_name_Hall '-C 2 2'
_cell_length_a 6.2975
_cell_length_b 7.6924
_cell_length_c 4.1725
_cell_angle_alpha 90.00
_cell_angle_beta 90.00
_cell_angle_gamma 90.00
loop_
_atom_site_label
_atom_site_type_symbol
_atom_site_fract_x
_atom_site_fract_y
_atom_site_fract_z
Ba1 Ba 0.0000 0.0000 0.0000
Cr1 Cr 0.0000 0.5000 0.0000
As1 As 0.2500 0.2500 0.5000
```


Entry 15:
First-principles (GGA-PBE) data for a relaxed structure of Ba3CrAs, as listed in Alexandria via LeMat-Bulk.

E above lowest polymorph	0.0	meV per atom
M_tot	1.214	μB per atom

The structure in CIF format:
```
data_Ba3CrAs
_space_group_name_H-M_alt 'P m -3 m'
_space_group_IT_number 221
_space_group_name_Hall '-P 4 2 3'
_cell_length_a 6.3651
_cell_length_b 6.3651
_cell_length_c 6.3651
_cell_angle_alpha 90.00
_cell_angle_beta 90.00
_cell_angle_gamma 90.00
loop_
_atom_site_label
_atom_site_type_symbol
_atom_site_fract_x
_atom_site_fract_y
_atom_site_fract_z
Ba1 Ba 0.0000 0.0000 0.5000
Cr1 Cr 0.5000 0.5000 0.5000
As1 As 0.0000 0.0000 0.0000
```


no.,energy of formation from the pure elements (eV per atom),final energy (eV/atom)
1,-0.11,-5.3251
2,0.27,-4.9412
3,-0.25,-5.4634
4,0.09,-4.4409
5,-0.43,-5.6427
6,-0.10,-5.3081
7,0.24,-4.2894
8,0.67,-6.4175
9,-0.01,-5.2178
10,-0.38,-5.5956
11,-0.27,-4.7975
12,0.02,-4.5099
13,0.13,-5.0796
14,0.06,-5.1511
15,-0.01,-4.0138